# 1
This record from Alexandria describes a geometry-optimized BeAs5 structure. The functional is GGA-PBE.

CIF file:
```
data_BeAs5
_space_group_name_H-M_alt 'P 4/m m m'
_space_group_IT_number 123
_space_group_name_Hall '-P 4 2'
_cell_length_a 2.9771
_cell_length_b 2.9771
_cell_length_c 12.6621
_cell_angle_alpha 90.00
_cell_angle_beta 90.00
_cell_angle_gamma 90.00
loop_
_atom_site_label
_atom_site_type_symbol
_atom_site_fract_x
_atom_site_fract_y
_atom_site_fract_z
Be1 Be 0.0000 0.0000 0.0000
As1 As 0.0000 0.0000 0.3398
As2 As 0.5000 0.5000 0.1084
As3 As 0.5000 0.5000 0.5000
```

Values from the calculation:
- Polymorph energy (0 for the lowest one): 311.6 meV/atom
- E_form: 0.44 eV per atom



# 2
This record from Alexandria describes a geometry-optimized SmGaPdPt structure. The functional is GGA-PBE.

CIF file:
```
data_SmGaPdPt
_space_group_name_H-M_alt 'I m m 2'
_space_group_IT_number 44
_cell_length_a 3.9587
_cell_length_b 4.0714
_cell_length_c 10.8959
_cell_angle_alpha 90.00
_cell_angle_beta 90.00
_cell_angle_gamma 90.00
loop_
_space_group_symop_operation_xyz
'x,y,z'
'-x,-y,z'
'-x,y,z'
'x,-y,z'
'x+1/2,y+1/2,z+1/2'
'-x+1/2,-y+1/2,z+1/2'
'-x+1/2,y+1/2,z+1/2'
'x+1/2,-y+1/2,z+1/2'
loop_
_atom_site_label
_atom_site_type_symbol
_atom_site_fract_x
_atom_site_fract_y
_atom_site_fract_z
Sm1 Sm 0.0000 0.0000 0.0000
Ga1 Ga 0.0000 0.5000 0.2480
Pd1 Pd 0.0000 0.0000 0.3706
Pt1 Pt 0.0000 0.0000 0.6154
```

Values from the calculation:
- Polymorph energy (0 for the lowest one): 37.5 meV/atom
- E_form: -0.75 eV per atom



# 3
This record from Alexandria describes a geometry-optimized TbNd2Ga6 structure. The functional is GGA-PBE.

CIF file:
```
data_TbNd2Ga6
_space_group_name_H-M_alt 'P 6/m m m'
_space_group_IT_number 191
_space_group_name_Hall '-P 6 2'
_cell_length_a 7.3735
_cell_length_b 7.3735
_cell_length_c 4.2555
_cell_angle_alpha 90.00
_cell_angle_beta 90.00
_cell_angle_gamma 120.00
loop_
_atom_site_label
_atom_site_type_symbol
_atom_site_fract_x
_atom_site_fract_y
_atom_site_fract_z
Tb1 Tb 0.0000 0.0000 0.0000
Nd1 Nd 0.3333 0.6667 0.0000
Ga1 Ga 0.0000 0.3322 0.5000
```

Values from the calculation:
- Polymorph energy (0 for the lowest one): 0.0 meV/atom
- E_form: -0.67 eV per atom



Taking the records one at a time from the top gives M_tot values of 0.00 0.00 0.00 μB per cell.
Taking the records one at a time from the top gives total DFT energy (no corrections) values of -24.36 -43.93 -38.38 eV per cell.